No. 1
The following is a PBE calculation of a relaxed Cu2Ag3 crystal, from OQMD via LeMat-Bulk.

Theoretical density   9.608 Mg/m³
Formation energy   0.45 eV/f.u.
Offset from the most stable computed form   58 meV per atom

The structure in CIF format:
```
data_Cu2Ag3
_chemical_formula_sum 'Cu4 Ag6'
_cell_length_a 2.854
_cell_length_b 3.801
_cell_length_c 14.360
_cell_angle_alpha 90.00
_cell_angle_beta 90.00
_cell_angle_gamma 90.00
_symmetry_space_group_name_H-M 'P m m m'
_symmetry_Int_Tables_number 47
loop_
_symmetry_equiv_pos_as_xyz
'x,y,z'
'-x,-y,-z'
'-x,-y,z'
'x,y,-z'
'x,-y,-z'
'-x,y,z'
'-x,y,-z'
'x,-y,z'
loop_
_atom_site_label
_atom_site_type_symbol
_atom_site_fract_x
_atom_site_fract_y
_atom_site_fract_z
Cu1 Cu 0.000 0.000 0.098
Cu2 Cu 0.000 0.000 0.291
Ag1 Ag 0.000 0.000 0.500
Ag2 Ag 0.500 0.500 0.000
Ag3 Ag 0.500 0.500 0.195
Ag4 Ag 0.500 0.500 0.389
```

---

No. 2
The following is a PBE calculation of a relaxed NbTcPt2 crystal, from OQMD via LeMat-Bulk.

Theoretical density   15.169 Mg/m³
Formation energy   -0.62 eV/f.u.

The structure in CIF format:
```
data_NbTcPt2
_chemical_formula_sum 'Nb4 Tc4 Pt8'
_cell_length_a 6.337
_cell_length_b 6.337
_cell_length_c 6.337
_cell_angle_alpha 90.00
_cell_angle_beta 90.00
_cell_angle_gamma 90.00
_symmetry_space_group_name_H-M 'F -4 3 m'
_symmetry_Int_Tables_number 216
_symmetry_space_group_name_Hall 'F -4 2 3'
loop_
_atom_site_label
_atom_site_type_symbol
_atom_site_fract_x
_atom_site_fract_y
_atom_site_fract_z
Nb1 Nb 0.000 0.000 0.000
Tc1 Tc 0.250 0.250 0.750
Pt1 Pt 0.000 0.000 0.500
Pt2 Pt 0.250 0.250 0.250
```

---

No. 3
The following is a PBE calculation of a relaxed La2NdSi2Ge2Pd4 crystal, from OQMD via LeMat-Bulk.

Theoretical density   7.565 Mg/m³
Offset from the most stable computed form   35 meV per atom

The structure in CIF format:
```
data_La2NdSi2Ge2Pd4
_chemical_formula_sum 'La4 Nd2 Si4 Ge4 Pd8'
_cell_length_a 4.221
_cell_length_b 4.323
_cell_length_c 25.242
_cell_angle_alpha 90.00
_cell_angle_beta 90.00
_cell_angle_gamma 90.00
_symmetry_space_group_name_H-M 'I m m m'
_symmetry_Int_Tables_number 71
_symmetry_space_group_name_Hall '-I 2 2'
loop_
_atom_site_label
_atom_site_type_symbol
_atom_site_fract_x
_atom_site_fract_y
_atom_site_fract_z
La1 La 0.000 0.000 0.146
Nd1 Nd 0.000 0.500 0.000
Si1 Si 0.000 0.500 0.453
Ge1 Ge 0.000 0.000 0.306
Pd1 Pd 0.000 0.000 0.407
Pd2 Pd 0.000 0.500 0.250
```

---

No. 4
The following is a PBE calculation of a relaxed SrNbNO crystal, from OQMD via LeMat-Bulk.

Theoretical density   5.407 Mg/m³
Offset from the most stable computed form   29 meV per atom

The structure in CIF format:
```
data_SrNbNO
_chemical_formula_sum 'Sr2 Nb2 N2 O2'
_cell_length_a 5.706
_cell_length_b 4.036
_cell_length_c 5.616
_cell_angle_alpha 90.00
_cell_angle_beta 90.00
_cell_angle_gamma 90.00
_symmetry_space_group_name_H-M 'P m m a'
_symmetry_Int_Tables_number 51
loop_
_symmetry_equiv_pos_as_xyz
'x,y,z'
'-x,-y,-z'
'-x+1/2,-y,z'
'x+1/2,y,-z'
'x+1/2,-y,-z'
'-x+1/2,y,z'
'-x,y,-z'
'x,-y,z'
loop_
_atom_site_label
_atom_site_type_symbol
_atom_site_fract_x
_atom_site_fract_y
_atom_site_fract_z
Sr1 Sr 0.250 0.000 0.234
Nb1 Nb 0.250 0.500 0.755
N1 N 0.000 0.500 0.000
O1 O 0.250 0.000 0.693
```